Crystalline CuAs2F at its relaxed geometry. Source: Alexandria, functional PBE.

a b c (Å): 3.8350 3.8350 9.3582
angles (deg): 78.18 78.18 90.00
Fractional positions:
As  0.8750  0.9133  0.7500
Cu  0.0000  0.0000  0.0000
F  0.2500  0.7500  0.5000
F  0.5000  0.5000  0.0000
As  0.6633  0.1250  0.2500
Cu  0.7500  0.2500  0.5000
As  0.0867  0.6250  0.2500
As  0.3750  0.3367  0.7500

Values from the calculation:
As for the formation energy without anion corrections: -0.222 eV per atom. Its total DFT energy (no corrections) is -4.0384 eV per atom. The value obtained for the offset from the most stable computed form is 31 meV per atom. The space group is No. 122.

***

Crystalline Ni2WCl at its relaxed geometry. Source: Alexandria, functional PBE.

a b c (Å): 6.6530 6.6530 5.3174
angles (deg): 51.28 51.28 90.00
Fractional positions:
W  0.0000  0.0000  0.0000
W  0.7500  0.2500  0.5000
Cl  0.2500  0.7500  0.5000
Ni  0.3750  0.3948  0.7500
Cl  0.5000  0.5000  0.0000
Ni  0.1448  0.6250  0.2500
Ni  0.6052  0.1250  0.2500
Ni  0.8750  0.8552  0.7500

Values from the calculation:
As for the formation energy without anion corrections: 0.683 eV per atom. Its total DFT energy (no corrections) is -5.9077 eV per atom. The value obtained for the offset from the most stable computed form is 535 meV per atom. The space group is No. 122.

***

Crystalline AcDyAl4 at its relaxed geometry. Source: Alexandria, functional PBE.

a b c (Å): 4.4154 4.4154 8.3576
angles (deg): 105.32 105.32 90.00
Fractional positions:
Al  0.5863  0.5863  0.1727
Dy  0.2500  0.7500  0.5000
Al  0.4137  0.4137  0.8273
Al  0.6695  0.1695  0.3389
Ac  0.0000  0.0000  0.0000
Al  0.8305  0.3305  0.6611

Values from the calculation:
Its total DFT energy (no corrections) is -4.3094 eV per atom. The value obtained for the offset from the most stable computed form is 28 meV per atom. The space group is No. 119.